Record 1
# NaCa2HAu | Alexandria via LeMat-Bulk | PBE | relaxed
data_NaCa2HAu
_chemical_formula_sum 'Na1 Ca2 H1 Au1'
_cell_length_a 4.8924
_cell_length_b 4.8924
_cell_length_c 4.4589
_cell_angle_alpha 90.00
_cell_angle_beta 90.00
_cell_angle_gamma 90.00
_space_group_name_H-M_alt 'P 4/m m m'
_space_group_IT_number 123
_space_group_name_Hall '-P 4 2'
loop_
_atom_site_label
_atom_site_fract_x
_atom_site_fract_y
_atom_site_fract_z
_atom_site_occupancy
Na1 0.0000 0.0000 0.0000 1
Ca1 0.0000 0.5000 0.5000 1
H1 0.0000 0.0000 0.5000 1
Au1 0.5000 0.5000 0.0000 1
# VASP energy = -2.786 eV/atom

***

Record 2
# ZrCr2Re | Alexandria via LeMat-Bulk | PBE | relaxed
data_ZrCr2Re
_chemical_formula_sum 'Zr1 Cr2 Re1'
_cell_length_a 3.1514
_cell_length_b 4.3664
_cell_length_c 4.4516
_cell_angle_alpha 90.00
_cell_angle_beta 90.00
_cell_angle_gamma 90.00
_space_group_name_H-M_alt 'P m m m'
_space_group_IT_number 47
loop_
_space_group_symop_operation_xyz
'x,y,z'
'-x,-y,-z'
'-x,-y,z'
'x,y,-z'
'x,-y,-z'
'-x,y,z'
'-x,y,-z'
'x,-y,z'
loop_
_atom_site_label
_atom_site_fract_x
_atom_site_fract_y
_atom_site_fract_z
_atom_site_occupancy
Zr1 0.0000 0.0000 0.0000 1
Cr1 0.0000 0.5000 0.5000 1
Cr2 0.5000 0.5000 0.0000 1
Re1 0.5000 0.0000 0.5000 1
# energy relative to the elements = 0.15 eV/atom

***

Record 3
# LaTaSi2 | Alexandria via LeMat-Bulk | PBE | relaxed
data_LaTaSi2
_chemical_formula_sum 'La4 Ta4 Si8'
_cell_length_a 4.9245
_cell_length_b 4.9245
_cell_length_c 17.0821
_cell_angle_alpha 90.00
_cell_angle_beta 90.00
_cell_angle_gamma 90.00
_space_group_name_H-M_alt 'I 41/a m d'
_space_group_IT_number 141
loop_
_space_group_symop_operation_xyz
'x,y,z'
'-x,-y,-z'
'-y+1/4,x+3/4,z+1/4'
'y+1/4,-x+3/4,-z+1/4'
'-x+1/2,-y,z+1/2'
'x+1/2,y,-z+1/2'
'y+1/4,-x+1/4,z+3/4'
'-y+1/4,x+1/4,-z+3/4'
'x,-y,-z'
'-x,y,z'
'-y+1/4,-x+1/4,-z+3/4'
'y+1/4,x+1/4,z+3/4'
'-x+1/2,y,-z+1/2'
'x+1/2,-y,z+1/2'
'y+1/4,x+3/4,-z+1/4'
'-y+1/4,-x+3/4,z+1/4'
'x+1/2,y+1/2,z+1/2'
'-x+1/2,-y+1/2,-z+1/2'
'-y+3/4,x+1/4,z+3/4'
'y+3/4,-x+1/4,-z+3/4'
'-x,-y+1/2,z'
'x,y+1/2,-z'
'y+3/4,-x+3/4,z+1/4'
'-y+3/4,x+3/4,-z+1/4'
'x+1/2,-y+1/2,-z+1/2'
'-x+1/2,y+1/2,z+1/2'
'-y+3/4,-x+3/4,-z+1/4'
'y+3/4,x+3/4,z+1/4'
'-x,y+1/2,-z'
'x,-y+1/2,z'
'y+3/4,x+1/4,-z+3/4'
'-y+3/4,-x+1/4,z+3/4'
loop_
_atom_site_label
_atom_site_fract_x
_atom_site_fract_y
_atom_site_fract_z
_atom_site_occupancy
La1 0.0000 0.2500 0.3750 1
Ta1 0.0000 0.2500 0.8750 1
Si1 0.0000 0.0000 0.0000 1
# uncorrected formation energy = 0.011 eV per atom

***

Record 4
# Nd2NbGa2Ru5 | Alexandria via LeMat-Bulk | PBE | relaxed
data_Nd2NbGa2Ru5
_chemical_formula_sum 'Nd4 Nb2 Ga4 Ru10'
_cell_length_a 10.2729
_cell_length_b 10.2729
_cell_length_c 3.3532
_cell_angle_alpha 90.00
_cell_angle_beta 90.00
_cell_angle_gamma 90.00
_space_group_name_H-M_alt 'P 4/m b m'
_space_group_IT_number 127
_space_group_name_Hall '-P 4 2ab'
loop_
_atom_site_label
_atom_site_fract_x
_atom_site_fract_y
_atom_site_fract_z
_atom_site_occupancy
Nd1 0.1719 0.3281 0.0000 1
Nb1 0.0000 0.0000 0.0000 1
Ga1 0.1270 0.6270 0.0000 1
Ru1 0.0000 0.5000 0.5000 1
Ru2 0.0650 0.8020 0.5000 1
# energy relative to the elements = -0.28 eV/atom

***

Record 5
# Si3C | Alexandria via LeMat-Bulk | PBE | relaxed
data_Si3C
_chemical_formula_sum 'Si6 C2'
_cell_length_a 3.4327
_cell_length_b 7.0374
_cell_length_c 4.9687
_cell_angle_alpha 90.00
_cell_angle_beta 90.00
_cell_angle_gamma 90.00
_space_group_name_H-M_alt 'P m m n'
_space_group_IT_number 59
loop_
_space_group_symop_operation_xyz
'x,y,z'
'-x,-y,-z'
'-x+1/2,-y+1/2,z'
'x+1/2,y+1/2,-z'
'x+1/2,-y,-z'
'-x+1/2,y,z'
'-x,y+1/2,-z'
'x,-y+1/2,z'
loop_
_atom_site_label
_atom_site_fract_x
_atom_site_fract_y
_atom_site_fract_z
_atom_site_occupancy
Si1 0.2500 0.0167 0.1521 1
Si2 0.2500 0.7500 0.4413 1
C1 0.2500 0.2500 0.3493 1
# uncorrected formation energy = 0.177 eV per atom

***

Record 6
# CeDyY5 | Alexandria via LeMat-Bulk | PBE | relaxed
data_CeDyY5
_chemical_formula_sum 'Ce4 Dy4 Y20'
_cell_length_a 6.1298
_cell_length_b 17.5270
_cell_length_c 8.8292
_cell_angle_alpha 90.00
_cell_angle_beta 102.61
_cell_angle_gamma 90.00
_space_group_name_H-M_alt 'C 1 2/c 1'
_space_group_IT_number 15
loop_
_space_group_symop_operation_xyz
'x,y,z'
'-x,-y,-z'
'-x,y,-z+1/2'
'x,-y,z+1/2'
'x+1/2,y+1/2,z'
'-x+1/2,-y+1/2,-z'
'-x+1/2,y+1/2,-z+1/2'
'x+1/2,-y+1/2,z+1/2'
loop_
_atom_site_label
_atom_site_fract_x
_atom_site_fract_y
_atom_site_fract_z
_atom_site_occupancy
Ce1 0.0000 0.0000 0.0000 1
Dy1 0.0000 0.4868 0.2500 1
Y1 0.0000 0.1431 0.2500 1
Y2 0.1133 0.3457 0.9627 1
Y3 0.2006 0.1877 0.6461 1
# energy relative to the elements = 0.21 eV/atom

***

Question: Which formula does entry 6 have?
Answer: CeDyY5